(1)
First-principles (SCAN) data for a PBEsol-optimized structure of Sc2MoRu, as listed in Alexandria via LeMat-Bulk.

## Properties
Total energy, eV per cell: -99.0
D(E_F), states/eV/atom: 0.966
Total magnetization, μB per formula unit: 0.00
Volume, Å³/cell: 68
ΔE_f, eV per atom: -0.22

```
Sc2MoRu
1.0
-1.579 2.286 4.738
1.579 -2.286 4.738
1.579 2.286 -4.738
Sc Mo Ru
2 1 1
direct
0.000 0.000 0.000
0.723 0.223 0.500
0.263 0.763 0.500
0.478 0.478 0.000
```


(2)
First-principles (SCAN) data for a PBEsol-optimized structure of ScMoRu2, as listed in Alexandria via LeMat-Bulk.

## Properties
Total energy, eV per cell: -120.0
D(E_F), states/eV/atom: 0.667
Total magnetization, μB per formula unit: 0.00
Volume, Å³/cell: 60
ΔE_f, eV per atom: -0.30

```
ScMoRu2
1.0
3.060 0.000 0.000
0.000 3.060 0.000
0.000 0.000 6.417
Sc Mo Ru
1 1 2
direct
0.000 0.000 0.000
0.000 0.000 0.500
0.500 0.500 0.257
0.500 0.500 0.743
```


(3)
First-principles (SCAN) data for a PBEsol-optimized structure of SrScMo2Ru, as listed in Alexandria via LeMat-Bulk.

## Properties
Total energy, eV per cell: -130.2
D(E_F), states/eV/atom: 1.204
Total magnetization, μB per formula unit: 1.43
Volume, Å³/cell: 105
ΔE_f, eV per atom: 2.19

```
SrScMo2Ru
1.0
4.484 0.000 0.000
0.000 4.484 0.000
0.000 0.000 5.236
Sr Sc Mo Ru
1 1 2 1
direct
0.000 0.000 0.000
0.000 0.000 0.500
0.000 0.500 0.500
0.500 0.000 0.500
0.500 0.500 0.000
```


(4)
First-principles (SCAN) data for a PBEsol-optimized structure of MoRuSe2, as listed in Alexandria via LeMat-Bulk.

## Properties
ΔE_f (raw), kcal/mol of atoms: -0.609
Total energy, eV per cell: -110.0
D(E_F), states/eV/atom: 0.703
Total magnetization, μB per formula unit: 0.00
Volume, Å³/cell: 73

```
MoRuSe2
1.0
1.506 0.869 9.285
-1.506 0.869 9.285
0.000 -1.739 9.285
Mo Ru Se
1 1 2
direct
0.000 0.000 0.000
0.252 0.252 0.252
0.525 0.525 0.525
0.730 0.730 0.730
```


(5)
First-principles (SCAN) data for a PBEsol-optimized structure of MoRu2Se, as listed in Alexandria via LeMat-Bulk.

## Properties
ΔE_f (raw), kcal/mol of atoms: 7.697
Total energy, eV per cell: -123.3
D(E_F), states/eV/atom: 0.690
Total magnetization, μB per formula unit: 0.00
Volume, Å³/cell: 59

```
MoRu2Se
1.0
2.883 0.000 0.000
0.000 3.959 0.000
0.000 0.000 5.143
Mo Ru Se
1 2 1
direct
0.000 0.000 0.000
0.000 0.000 0.512
0.500 0.500 0.190
0.500 0.500 0.686
```


(6)
First-principles (SCAN) data for a PBEsol-optimized structure of MoRuSe2, as listed in Alexandria via LeMat-Bulk.

## Properties
ΔE_f (raw), kcal/mol of atoms: -2.005
Total energy, eV per cell: -110.2
D(E_F), states/eV/atom: 0.642
Total magnetization, μB per formula unit: 0.00
Volume, Å³/cell: 68

```
MoRuSe2
1.0
2.954 0.000 0.000
0.000 2.954 0.000
0.000 0.000 7.826
Mo Ru Se
1 1 2
direct
0.000 0.000 0.000
0.500 0.500 0.250
0.000 0.000 0.431
0.500 0.500 0.812
```